Record 1
Compound: NbAgSnPd2
Source: Alexandria
Functional: PBE
Structure: optimized geometry

```
5
Lattice="4.859 0.000 0.000 0.000 4.859 0.000 0.000 0.000 5.364" Properties=species:S:1:pos:R:3 pbc="T T T"
Nb 0.000 0.000 0.000
Ag 2.430 2.430 2.682
Sn 0.000 0.000 2.682
Pd 0.000 2.430 0.000
Pd 2.430 0.000 0.000
```

Output
Energy ... -4.604 eV per atom
M_tot ... 0.00 μB/f.u.
Formation energy from the elements ... 858.4 meV per atom

Record 2
Compound: Nb2Ag2Te6Pd
Source: Alexandria
Functional: PBE
Structure: optimized geometry

```
11
Lattice="3.265 -5.999 0.000 3.265 5.999 0.000 -1.927 0.000 7.556" Properties=species:S:1:pos:R:3 pbc="T T T"
Nb 3.265 4.509 0.000
Nb 3.265 -4.509 0.000
Ag 2.302 2.292 3.778
Ag 2.302 -2.292 3.778
Te 0.293 2.216 6.009
Te 1.258 0.000 1.956
Te 0.293 -2.216 6.009
Te 4.310 2.216 1.548
Te 3.345 0.000 5.600
Te 4.310 -2.216 1.548
Pd 3.265 0.000 0.000
```

Output
Energy ... -4.706 eV per atom
ΔE_f (raw) ... -0.17 eV per atom
M_tot ... 0.00 μB/f.u.

Record 3
Compound: Nb2AgPt9
Source: Alexandria
Functional: PBE
Structure: optimized geometry

```
12
Lattice="4.010 0.000 0.000 0.000 4.010 0.000 0.000 0.000 11.964" Properties=species:S:1:pos:R:3 pbc="T T T"
Nb 0.000 0.000 2.084
Nb 0.000 0.000 9.880
Ag 0.000 0.000 5.982
Pt 0.000 2.005 0.000
Pt 0.000 2.005 3.904
Pt 0.000 2.005 8.060
Pt 2.005 0.000 0.000
Pt 2.005 0.000 3.904
Pt 2.005 0.000 8.060
Pt 2.005 2.005 1.947
Pt 2.005 2.005 5.982
Pt 2.005 2.005 10.017
```

Output
Energy ... -6.930 eV per atom
M_tot ... 0.00 μB/f.u.
Formation energy from the elements ... -483.1 meV per atom

Record 4
Compound: Nb2AgPt
Source: Alexandria
Functional: PBE
Structure: optimized geometry

```
16
Lattice="7.516 0.000 0.000 0.000 7.516 0.000 0.000 0.000 5.388" Properties=species:S:1:pos:R:3 pbc="T T T"
Nb 1.659 1.879 0.673
Nb 1.879 5.416 2.020
Nb 1.879 5.857 4.714
Nb 2.099 1.879 3.367
Nb 5.416 5.637 3.367
Nb 5.637 1.659 4.714
Nb 5.637 2.099 2.020
Nb 5.857 5.637 0.673
Ag 0.000 0.000 2.694
Ag 0.000 3.758 4.041
Ag 3.758 0.000 1.347
Ag 3.758 3.758 0.000
Pt 0.000 0.000 0.000
Pt 0.000 3.758 1.347
Pt 3.758 0.000 4.041
Pt 3.758 3.758 2.694
```

Output
Energy ... -6.992 eV per atom
M_tot ... 0.00 μB/f.u.
Formation energy from the elements ... 266.1 meV per atom

Record 5
Compound: Nb3AgPt
Source: Alexandria
Functional: PBE
Structure: optimized geometry

```
5
Lattice="4.904 0.000 0.000 0.000 4.904 0.000 0.000 0.000 4.904" Properties=species:S:1:pos:R:3 pbc="T T T"
Nb 0.000 0.000 2.452
Nb 0.000 2.452 0.000
Nb 2.452 0.000 0.000
Ag 2.452 2.452 2.452
Pt 0.000 0.000 0.000
```

Output
Energy ... -6.726 eV per atom
M_tot ... 0.00 μB/f.u.
Formation energy from the elements ... 1094.7 meV per atom
Polymorph energy (0 for the lowest one) ... 0.000 eV per atom

Record 6
Compound: Nb3AgPt
Source: Alexandria
Functional: PBE
Structure: optimized geometry

```
5
Lattice="4.843 0.000 0.000 0.000 4.843 0.000 0.000 0.000 4.843" Properties=species:S:1:pos:R:3 pbc="T T T"
Nb 0.000 0.000 2.421
Nb 0.000 2.421 0.000
Nb 2.421 0.000 0.000
Ag 0.000 0.000 0.000
Pt 2.421 2.421 2.421
```

Output
Energy ... -5.999 eV per atom
M_tot ... 0.65 μB/f.u.
Formation energy from the elements ... 1820.8 meV per atom
Polymorph energy (0 for the lowest one) ... 0.726 eV per atom

Record 7
Compound: Nb2AgPt2
Source: Alexandria
Functional: PBE
Structure: optimized geometry

```
10
Lattice="7.895 0.000 0.000 0.000 7.895 0.000 0.000 0.000 2.849" Properties=species:S:1:pos:R:3 pbc="T T T"
Nb 1.333 2.615 0.000
Nb 2.615 6.562 0.000
Nb 5.280 1.333 0.000
Nb 6.562 5.280 0.000
Ag 0.000 0.000 1.424
Ag 3.948 3.948 1.424
Pt 0.999 4.947 1.424
Pt 2.948 0.999 1.424
Pt 4.947 6.896 1.424
Pt 6.896 2.948 1.424
```

Output
Energy ... -7.388 eV per atom
M_tot ... 0.00 μB/f.u.
Formation energy from the elements ... -374.0 meV per atom
Polymorph energy (0 for the lowest one) ... 0.000 eV per atom

Record 8
Compound: NbAg3Pt
Source: Alexandria
Functional: PBE
Structure: optimized geometry

```
5
Lattice="5.014 0.000 0.000 0.000 5.014 0.000 0.000 0.000 5.014" Properties=species:S:1:pos:R:3 pbc="T T T"
Nb 0.000 0.000 0.000
Ag 0.000 2.507 2.507
Ag 2.507 0.000 2.507
Ag 2.507 2.507 0.000
Pt 2.507 2.507 2.507
```

Output
Energy ... -3.656 eV per atom
M_tot ... 3.49 μB/f.u.
Formation energy from the elements ... 1276.9 meV per atom
Polymorph energy (0 for the lowest one) ... 0.000 eV per atom

Record 9
Compound: NbAgPt
Source: Alexandria
Functional: PBE
Structure: optimized geometry

```
6
Lattice="0.000 3.767 5.491 2.670 0.000 5.491 2.670 3.767 0.000" Properties=species:S:1:pos:R:3 pbc="T T T"
Nb 1.335 1.884 2.745
Nb 4.005 5.651 8.236
Ag 2.670 1.306 5.491
Ag 2.670 6.229 5.491
Pt 2.670 3.767 4.155
Pt 2.670 3.767 6.826
```

Output
Energy ... -6.403 eV per atom
M_tot ... 0.00 μB/f.u.
Formation energy from the elements ... -82.0 meV per atom

Record 10
Compound: Nb2AgPt2
Source: Alexandria
Functional: PBE
Structure: optimized geometry

```
10
Lattice="3.802 0.000 0.000 0.000 3.802 0.000 0.000 0.000 13.174" Properties=species:S:1:pos:R:3 pbc="T T T"
Nb 0.000 0.000 1.368
Nb 0.000 0.000 11.807
Nb 1.901 1.901 5.220
Nb 1.901 1.901 7.955
Ag 0.000 0.000 6.587
Ag 1.901 1.901 0.000
Pt 0.000 1.901 3.294
Pt 0.000 1.901 9.881
Pt 1.901 0.000 3.294
Pt 1.901 0.000 9.881
```

Output
Energy ... -6.872 eV per atom
M_tot ... 0.56 μB/f.u.
Formation energy from the elements ... 142.3 meV per atom
Polymorph energy (0 for the lowest one) ... 0.516 eV per atom

Record 11
Compound: NbAgPt3
Source: Alexandria
Functional: PBE
Structure: optimized geometry

```
5
Lattice="4.881 0.000 0.000 0.000 4.881 0.000 0.000 0.000 4.881" Properties=species:S:1:pos:R:3 pbc="T T T"
Nb 0.000 0.000 0.000
Ag 2.441 2.441 2.441
Pt 0.000 0.000 2.441
Pt 0.000 2.441 0.000
Pt 2.441 0.000 0.000
```

Output
Energy ... -5.311 eV per atom
M_tot ... 0.00 μB/f.u.
Formation energy from the elements ... 898.1 meV per atom
Polymorph energy (0 for the lowest one) ... 0.000 eV per atom

Record 12
Compound: NbAg3Pt
Source: Alexandria
Functional: PBE
Structure: optimized geometry

```
5
Lattice="5.040 0.000 0.000 0.000 5.040 0.000 0.000 0.000 5.040" Properties=species:S:1:pos:R:3 pbc="T T T"
Nb 0.000 0.000 0.000
Ag 0.000 0.000 2.520
Ag 0.000 2.520 0.000
Ag 2.520 0.000 0.000
Pt 2.520 2.520 2.520
```

Output
Energy ... -3.089 eV per atom
M_tot ... 1.19 μB/f.u.
Formation energy from the elements ... 1843.8 meV per atom
Polymorph energy (0 for the lowest one) ... 0.567 eV per atom